## Pm7PtSe5 (PBE)

Data for an optimized crystal structure of Pm7PtSe5.

Values from the calculation:
- Formation energy from raw total energies: -1.582 eV per atom
- Space-group type: Cmcm (63)

```
Pm7PtSe5
1.0
4.067 0.000 0.000
-2.034 6.938 0.008
0.000 -0.030 25.066
Se Pm Pt
10 14 2
Direct
0.000 0.001 0.000
0.556 0.112 0.145
0.722 0.445 0.929
0.445 0.890 0.855
0.278 0.557 0.071
0.556 0.111 0.355
0.445 0.890 0.645
0.278 0.557 0.429
0.000 0.000 0.500
0.722 0.444 0.571
0.639 0.278 0.038
0.798 0.595 0.820
0.085 0.171 0.610
0.457 0.913 0.250
0.203 0.406 0.320
0.915 0.830 0.390
0.544 0.088 0.750
0.362 0.724 0.962
0.086 0.171 0.890
0.203 0.406 0.180
0.797 0.595 0.680
0.915 0.830 0.110
0.639 0.277 0.462
0.362 0.724 0.538
0.195 0.391 0.750
0.805 0.610 0.250
```



## DyCCl (PBE)

Data for an optimized crystal structure of DyCCl.

Values from the calculation:
- Formation energy from raw total energies: -0.936 eV per atom
- Space-group type: P2_1/m (11)

```
DyCCl
1.0
-0.708 1.871 3.422
4.115 -4.932 3.549
6.587 14.089 -6.342
Dy C Cl
6 6 6
Direct
0.250 0.125 0.461
0.750 0.875 0.539
0.250 0.508 0.316
0.750 0.319 0.058
0.250 0.681 0.942
0.750 0.492 0.684
0.250 0.056 0.067
0.250 0.255 0.128
0.750 0.745 0.872
0.750 0.944 0.933
0.750 0.200 0.546
0.250 0.800 0.454
0.750 0.708 0.067
0.250 0.339 0.748
0.750 0.661 0.252
0.250 0.292 0.933
0.750 0.274 0.339
0.250 0.726 0.661
```



## RbDyCuCl5 (PBE)

Data for an optimized crystal structure of RbDyCuCl5.

Values from the calculation:
- Formation energy from raw total energies: -1.747 eV per atom
- Space-group type: C2/c (15)

```
RbDyCuCl5
1.0
-4.543 3.228 -4.915
-4.172 -1.760 5.892
5.649 7.591 3.310
Cl Rb Dy Cu
10 2 2 2
Direct
0.074 0.926 0.250
0.696 0.102 0.393
0.624 0.765 0.920
0.765 0.624 0.420
0.376 0.235 0.080
0.304 0.898 0.607
0.235 0.376 0.580
0.102 0.696 0.893
0.898 0.304 0.107
0.926 0.074 0.750
0.653 0.347 0.750
0.347 0.653 0.250
0.000 0.000 0.000
0.000 0.000 0.500
0.691 0.309 0.250
0.309 0.691 0.750
```



## Hf3TiN (PBE)

Data for an optimized crystal structure of Hf3TiN.

Values from the calculation:
- Formation energy from raw total energies: 1.870 eV per atom
- E above lowest polymorph: 2.585 eV/atom
- Space-group type: Pm-3m (221)

```
Hf3TiN
1.0
4.838 0.000 0.000
0.000 4.838 0.000
0.000 0.000 4.838
Hf N Ti
3 1 1
Direct
0.000 0.000 0.500
0.000 0.500 0.000
0.500 0.000 0.000
0.500 0.500 0.500
0.000 0.000 0.000
```



## TmPu2Bi3 (PBE)

Data for an optimized crystal structure of TmPu2Bi3.

Values from the calculation:
- Space-group type: Fddd (70)
- DFT formation energy: -0.47 eV per atom

```
TmPu2Bi3
1.0
7.676 0.036 -1.421
-2.936 7.093 -1.421
-0.017 -0.026 14.220
Tm Bi Pu
4 12 8
Direct
0.083 0.083 0.167
0.167 0.667 0.333
0.333 0.833 0.667
0.917 0.917 0.833
0.755 0.755 0.000
0.084 0.080 0.668
0.005 0.505 0.500
0.665 0.162 0.832
0.585 0.588 0.668
0.330 0.834 0.168
0.166 0.670 0.832
0.245 0.245 0.000
0.920 0.916 0.332
0.838 0.335 0.168
0.412 0.415 0.332
0.495 0.995 0.500
0.251 0.251 0.501
0.833 0.333 0.665
0.583 0.583 0.165
0.999 0.499 0.999
0.417 0.417 0.835
0.501 0.001 0.001
0.667 0.167 0.335
0.749 0.749 0.499
```



## Ba2AlZn5 (PBE)

Data for an optimized crystal structure of Ba2AlZn5.

Values from the calculation:
- E above lowest polymorph: 0.000 eV/atom
- Space-group type: Cmcm (63)
- DFT formation energy: -0.14 eV per atom

```
Ba2AlZn5
1.0
4.933 0.000 0.000
-2.467 8.629 0.000
0.000 0.000 9.394
Ba Al Zn
4 2 10
Direct
0.210 0.421 0.250
0.000 0.000 0.000
0.000 0.000 0.500
0.790 0.579 0.750
0.564 0.129 0.250
0.436 0.871 0.750
0.650 0.300 0.486
0.184 0.369 0.892
0.816 0.631 0.108
0.350 0.700 0.514
0.589 0.178 0.750
0.411 0.822 0.250
0.650 0.300 0.014
0.184 0.369 0.608
0.350 0.700 0.986
0.816 0.631 0.392
```



## ErCdAu4 (PBE)

Data for an optimized crystal structure of ErCdAu4.

Values from the calculation:
- E above lowest polymorph: 0.084 eV/atom
- Space-group type: F-43m (216)
- DFT formation energy: -0.41 eV per atom

```
ErCdAu4
1.0
-1.475 3.276 4.258
-4.685 -1.048 2.828
0.270 -1.927 5.221
Au Er Cd
4 1 1
Direct
0.625 0.625 0.625
0.125 0.625 0.625
0.625 0.625 0.125
0.625 0.125 0.625
0.000 0.000 0.000
0.250 0.250 0.250
```



## Ac3CePr4Te8 (PBE)

Data for an optimized crystal structure of Ac3CePr4Te8.

Values from the calculation:
- Formation energy from raw total energies: -1.445 eV per atom
- Space-group type: R-3m (166)

```
Ac3CePr4Te8
1.0
9.233 0.000 0.000
0.000 9.196 -0.026
-4.617 -4.607 6.529
Te Ac Ce Pr
8 3 1 4
Direct
0.249 0.757 0.498
0.241 0.243 0.992
0.759 0.757 0.008
0.246 0.238 0.492
0.754 0.762 0.508
0.249 0.757 0.008
0.751 0.243 0.992
0.751 0.243 0.502
0.500 0.500 0.000
0.500 0.500 0.500
0.000 0.500 0.500
0.000 0.500 0.000
0.000 0.000 0.500
0.500 0.000 0.000
0.500 0.000 0.500
0.000 0.000 0.000
```



## Al3Te (PBE)

Data for an optimized crystal structure of Al3Te.

Values from the calculation:
- Formation energy from raw total energies: 0.222 eV per atom
- E above lowest polymorph: 0.176 eV/atom
- Space-group type: Cmmm (65)

```
Al3Te
1.0
3.011 0.051 0.000
-0.366 2.990 0.000
0.000 0.000 9.352
Al Te
3 1
Direct
0.500 0.500 0.750
0.000 0.000 0.955
0.000 0.000 0.545
0.500 0.500 0.250
```



## BePd2CF (PBE)

Data for an optimized crystal structure of BePd2CF.

Values from the calculation:
- Formation energy from raw total energies: -0.014 eV per atom
- Space-group type: P4/mmm (123)

```
BePd2CF
1.0
-0.714 -1.311 3.904
2.500 -2.304 -0.316
2.755 2.792 1.442
C Be F Pd
1 1 1 2
Direct
0.000 0.000 0.000
0.000 0.500 0.000
0.500 0.500 0.500
0.500 0.000 0.000
0.000 0.000 0.500
```



## La4AlNi (PBE)

Data for an optimized crystal structure of La4AlNi.

Values from the calculation:
- E above lowest polymorph: 0.776 eV/atom
- Space-group type: F-43m (216)
- DFT formation energy: 0.57 eV per atom

```
La4AlNi
1.0
0.000 4.478 4.478
4.478 0.000 4.478
4.478 4.478 0.000
La Al Ni
4 1 1
Direct
0.375 0.875 0.375
0.375 0.375 0.375
0.875 0.375 0.375
0.375 0.375 0.875
0.000 0.000 0.000
0.750 0.750 0.750
```



## Te2Ru (PBE)

Data for an optimized crystal structure of Te2Ru.

Values from the calculation:
- Formation energy from raw total energies: 0.081 eV per atom
- Space-group type: Cmcm (63)

```
Te2Ru
1.0
-7.031 -1.835 1.098
5.054 0.389 -5.320
1.214 -4.143 0.850
Ru Te
2 4
Direct
0.802 0.802 0.750
0.198 0.198 0.250
0.126 0.367 0.750
0.874 0.633 0.250
0.633 0.874 0.250
0.367 0.126 0.750
```